## CoSiO3 (PBE with a Hubbard U)

Data for crystalline CoSiO3 at its relaxed geometry.

a = 3.503 Å, b = 3.503 Å, c = 3.503 Å
α = 90.00°, β = 90.00°, γ = 90.00°
Each line ends with the local moment (μB).
Positions (direct):
O  0.500  0.000  0.000  0.06
O  0.000  0.500  0.000  0.09
O  0.000  0.000  0.500  0.06
Co  0.500  0.500  0.500  2.74
Si  0.000  0.000  0.000  0.00

Results
Its spin magnetization is 3.0 μB/f.u. For the mass density, the calculation gives 5.2 g cm⁻³. The calculation puts the raw total energy at -6.652 eV per atom.